Ag5Pt3 | Alexandria via LeMat-Bulk | PBE-GGA | relaxed; Fermi-level density of states = 0.930 states/eV per atom; energy of formation from the pure elements = 5 meV/atom; total magnetic moment = 0.000 μB per formula unit; space-group type = R-3m; total DFT energy (no corrections) = -4.042 eV per atom; energy above the most stable polymorph in this dataset = 0 meV/atom
1.0
5.785 0.004 0.003
2.959 4.971 0.003
2.959 1.683 4.677
Pt Ag
3 5
Cartesian
5.851 3.329 2.341
2.892 0.002 0.001
1.479 0.842 2.339
4.372 0.844 2.340
1.479 2.485 0.001
0.000 0.000 0.000
2.959 3.327 2.340
4.372 2.487 0.003